# Dy2Er5Sc (PBE, optimized geometry)
# - energy of formation (meV/atom) = 12
# - final energy (eV/atom) = -4.782
# - SG = Fmm2, No. 42
data_Dy2Er5Sc
_chemical_formula_sum 'Dy2 Er5 Sc1'
_symmetry_space_group_name_H-M 'P 1'
_symmetry_Int_Tables_number 1
_cell_length_a 7.117
_cell_length_b 7.117
_cell_length_c 6.578
_cell_angle_alpha 105.69
_cell_angle_beta 105.69
_cell_angle_gamma 120.01
loop_
_symmetry_equiv_pos_as_xyz
'x,y,z'
loop_
_atom_site_label
_atom_site_type_symbol
_atom_site_fract_x
_atom_site_fract_y
_atom_site_fract_z
Er1 Er 0.322 0.739 0.000
Er2 Er 0.320 0.235 0.000
Er3 Er 0.817 0.234 0.000
Sc1 Sc 0.820 0.736 0.000
Dy1 Dy 0.739 0.324 0.508
Er4 Er 0.237 0.319 0.500
Er5 Er 0.737 0.819 0.500
Dy2 Dy 0.231 0.817 0.492



# Dy2Er5Sc12 (PBE, optimized geometry)
# - energy of formation (meV/atom) = 134
# - final energy (eV/atom) = -5.550
# - SG = C2/m, No. 12
data_Dy2Er5Sc12
_chemical_formula_sum 'Dy2 Er5 Sc12'
_symmetry_space_group_name_H-M 'P 1'
_symmetry_Int_Tables_number 1
_cell_length_a 8.604
_cell_length_b 8.592
_cell_length_c 8.110
_cell_angle_alpha 92.06
_cell_angle_beta 90.00
_cell_angle_gamma 120.04
loop_
_symmetry_equiv_pos_as_xyz
'x,y,z'
loop_
_atom_site_label
_atom_site_type_symbol
_atom_site_fract_x
_atom_site_fract_y
_atom_site_fract_z
Sc1 Sc 0.183 0.745 0.342
Sc2 Sc 0.817 0.255 0.658
Er1 Er 0.764 0.529 0.423
Sc3 Sc 0.669 0.695 0.752
Sc4 Sc 0.438 0.255 0.658
Sc5 Sc 0.447 0.895 0.665
Er2 Er 0.236 0.471 0.577
Dy1 Dy 0.685 0.000 0.000
Sc6 Sc 0.026 0.695 0.752
Er3 Er 0.296 0.591 0.993
Sc7 Sc 0.331 0.305 0.248
Er4 Er 0.000 0.000 0.500
Er5 Er 0.704 0.409 0.007
Sc8 Sc 0.086 0.172 0.880
Dy2 Dy 0.315 0.000 0.000
Sc9 Sc 0.914 0.828 0.120
Sc10 Sc 0.974 0.305 0.248
Sc11 Sc 0.553 0.105 0.335
Sc12 Sc 0.562 0.745 0.342



# Dy2Er2Sc15 (PBE, optimized geometry)
# - energy of formation (meV/atom) = 246
# - final energy (eV/atom) = -5.717
# - SG = R-3m, No. 166
data_Dy2Er2Sc15
_chemical_formula_sum 'Dy2 Er2 Sc15'
_symmetry_space_group_name_H-M 'P 1'
_symmetry_Int_Tables_number 1
_cell_length_a 8.112
_cell_length_b 8.112
_cell_length_c 8.112
_cell_angle_alpha 80.61
_cell_angle_beta 80.61
_cell_angle_gamma 80.61
loop_
_symmetry_equiv_pos_as_xyz
'x,y,z'
loop_
_atom_site_label
_atom_site_type_symbol
_atom_site_fract_x
_atom_site_fract_y
_atom_site_fract_z
Sc1 Sc 0.000 0.000 0.500
Sc2 Sc 0.000 0.304 0.696
Sc3 Sc 0.304 0.000 0.696
Sc4 Sc 0.696 0.000 0.304
Sc5 Sc 0.154 0.633 0.633
Er1 Er 0.668 0.668 0.668
Sc6 Sc 0.500 0.000 0.000
Sc7 Sc 0.633 0.633 0.154
Dy1 Dy 0.111 0.111 0.111
Sc8 Sc 0.633 0.154 0.633
Dy2 Dy 0.889 0.889 0.889
Sc9 Sc 0.367 0.846 0.367
Sc10 Sc 0.000 0.500 0.000
Sc11 Sc 0.000 0.696 0.304
Sc12 Sc 0.696 0.304 0.000
Sc13 Sc 0.846 0.367 0.367
Sc14 Sc 0.304 0.696 0.000
Sc15 Sc 0.367 0.367 0.846
Er2 Er 0.332 0.332 0.332



# DyEr9Sc2 (PBE, optimized geometry)
# - energy of formation (meV/atom) = 38
# - final energy (eV/atom) = -4.823
# - SG = P4/mmm, No. 123
data_DyEr9Sc2
_chemical_formula_sum 'Dy1 Er9 Sc2'
_symmetry_space_group_name_H-M 'P 1'
_symmetry_Int_Tables_number 1
_cell_length_a 4.910
_cell_length_b 4.910
_cell_length_c 14.709
_cell_angle_alpha 90.00
_cell_angle_beta 90.00
_cell_angle_gamma 90.00
loop_
_symmetry_equiv_pos_as_xyz
'x,y,z'
loop_
_atom_site_label
_atom_site_type_symbol
_atom_site_fract_x
_atom_site_fract_y
_atom_site_fract_z
Sc1 Sc 0.000 0.000 0.335
Er1 Er 0.500 0.000 0.500
Sc2 Sc 0.000 0.000 0.665
Er2 Er 0.500 0.500 0.000
Er3 Er 0.000 0.500 0.171
Dy1 Dy 0.000 0.000 0.000
Er4 Er 0.500 0.000 0.171
Er5 Er 0.000 0.500 0.500
Er6 Er 0.500 0.500 0.336
Er7 Er 0.500 0.500 0.664
Er8 Er 0.000 0.500 0.829
Er9 Er 0.500 0.000 0.829



# DyEr7Sc4 (PBE, optimized geometry)
# - energy of formation (meV/atom) = 18
# - final energy (eV/atom) = -5.138
# - SG = P-1, No. 2
data_DyEr7Sc4
_chemical_formula_sum 'Dy1 Er7 Sc4'
_symmetry_space_group_name_H-M 'P 1'
_symmetry_Int_Tables_number 1
_cell_length_a 6.911
_cell_length_b 9.146
_cell_length_c 8.491
_cell_angle_alpha 81.07
_cell_angle_beta 89.95
_cell_angle_gamma 40.91
loop_
_symmetry_equiv_pos_as_xyz
'x,y,z'
loop_
_atom_site_label
_atom_site_type_symbol
_atom_site_fract_x
_atom_site_fract_y
_atom_site_fract_z
Dy1 Dy 0.000 0.000 0.000
Sc1 Sc 0.283 0.217 0.340
Er1 Er 0.751 0.503 0.004
Sc2 Sc 0.717 0.783 0.660
Sc3 Sc 0.530 0.724 0.338
Er2 Er 0.972 0.283 0.661
Er3 Er 0.777 0.223 0.337
Er4 Er 0.500 0.000 0.000
Sc4 Sc 0.470 0.276 0.662
Er5 Er 0.223 0.777 0.663
Er6 Er 0.249 0.497 0.996
Er7 Er 0.028 0.717 0.339



# Dy8Er2Sc3 (PBE, optimized geometry)
# - energy of formation (meV/atom) = 192
# - final energy (eV/atom) = -4.803
# - SG = C2/m, No. 12
data_Dy8Er2Sc3
_chemical_formula_sum 'Dy8 Er2 Sc3'
_symmetry_space_group_name_H-M 'P 1'
_symmetry_Int_Tables_number 1
_cell_length_a 5.922
_cell_length_b 8.599
_cell_length_c 8.599
_cell_angle_alpha 80.74
_cell_angle_beta 71.78
_cell_angle_gamma 71.78
loop_
_symmetry_equiv_pos_as_xyz
'x,y,z'
loop_
_atom_site_label
_atom_site_type_symbol
_atom_site_fract_x
_atom_site_fract_y
_atom_site_fract_z
Sc1 Sc 0.000 0.731 0.269
Dy1 Dy 0.883 0.136 0.136
Dy2 Dy 0.352 0.388 0.924
Sc2 Sc 0.000 0.269 0.731
Dy3 Dy 0.231 0.589 0.589
Dy4 Dy 0.648 0.612 0.076
Dy5 Dy 0.117 0.864 0.864
Er1 Er 0.337 0.320 0.320
Dy6 Dy 0.769 0.411 0.411
Dy7 Dy 0.352 0.924 0.388
Er2 Er 0.663 0.680 0.680
Dy8 Dy 0.648 0.076 0.612
Sc3 Sc 0.500 0.000 0.000